# TiBeP2Cl | Alexandria via LeMat-Bulk | PBEsol | optimized geometry
data_TiBeP2Cl
_space_group_name_H-M_alt 'P 1'
_space_group_IT_number 1
_cell_length_a 4.113
_cell_length_b 4.113
_cell_length_c 4.714
_cell_angle_alpha 90.00
_cell_angle_beta 90.00
_cell_angle_gamma 90.00
loop_
_space_group_symop_operation_xyz
'x,y,z'
loop_
_atom_site_label
_atom_site_type_symbol
_atom_site_fract_x
_atom_site_fract_y
_atom_site_fract_z
Cl1 Cl 0.000 0.000 0.500
P1 P 0.500 0.000 0.000
P2 P 0.000 0.500 0.000
Ti1 Ti 0.500 0.500 0.500
Be1 Be 0.000 0.000 0.000
# Space group ... No. 123
# Formation energy from raw total energies ... 0.244 eV/atom



# NbCuBiBr2 | Alexandria via LeMat-Bulk | PBEsol | optimized geometry
data_NbCuBiBr2
_space_group_name_H-M_alt 'P 1'
_space_group_IT_number 1
_cell_length_a 5.534
_cell_length_b 5.534
_cell_length_c 5.754
_cell_angle_alpha 90.00
_cell_angle_beta 90.00
_cell_angle_gamma 90.00
loop_
_space_group_symop_operation_xyz
'x,y,z'
loop_
_atom_site_label
_atom_site_type_symbol
_atom_site_fract_x
_atom_site_fract_y
_atom_site_fract_z
Nb1 Nb 0.000 0.000 0.500
Bi1 Bi 0.000 0.000 0.000
Cu1 Cu 0.500 0.500 0.500
Br1 Br 0.000 0.500 0.000
Br2 Br 0.500 0.000 0.000
# Space group ... No. 123
# Formation energy from raw total energies ... 1.287 eV/atom



# CaGeSb3 | Alexandria via LeMat-Bulk | PBEsol | optimized geometry
data_CaGeSb3
_space_group_name_H-M_alt 'P 1'
_space_group_IT_number 1
_cell_length_a 5.545
_cell_length_b 5.545
_cell_length_c 5.545
_cell_angle_alpha 90.00
_cell_angle_beta 90.00
_cell_angle_gamma 90.00
loop_
_space_group_symop_operation_xyz
'x,y,z'
loop_
_atom_site_label
_atom_site_type_symbol
_atom_site_fract_x
_atom_site_fract_y
_atom_site_fract_z
Sb1 Sb 0.500 0.000 0.000
Sb2 Sb 0.000 0.500 0.000
Sb3 Sb 0.000 0.000 0.500
Ca1 Ca 0.000 0.000 0.000
Ge1 Ge 0.500 0.500 0.500
# Space group ... No. 221
# Formation energy from raw total energies ... 0.853 eV/atom



# BaSrMg2 | Alexandria via LeMat-Bulk | PBEsol | optimized geometry
data_BaSrMg2
_space_group_name_H-M_alt 'P 1'
_space_group_IT_number 1
_cell_length_a 4.207
_cell_length_b 4.203
_cell_length_c 8.428
_cell_angle_alpha 90.00
_cell_angle_beta 90.00
_cell_angle_gamma 90.00
loop_
_space_group_symop_operation_xyz
'x,y,z'
loop_
_atom_site_label
_atom_site_type_symbol
_atom_site_fract_x
_atom_site_fract_y
_atom_site_fract_z
Sr1 Sr 0.500 0.500 0.000
Mg1 Mg 0.000 0.000 0.236
Mg2 Mg 0.000 0.000 0.764
Ba1 Ba 0.500 0.500 0.500
# Energy of formation from the pure elements ... -0.3 eV/f.u.
# Excess energy over the best structure of this formula in the dataset ... 0.05 kcal/mol of atoms
# Space group ... No. 123



# TeAs2Pt | Alexandria via LeMat-Bulk | PBEsol | optimized geometry
data_TeAs2Pt
_space_group_name_H-M_alt 'P 1'
_space_group_IT_number 1
_cell_length_a 3.009
_cell_length_b 3.009
_cell_length_c 8.839
_cell_angle_alpha 90.00
_cell_angle_beta 90.00
_cell_angle_gamma 90.00
loop_
_space_group_symop_operation_xyz
'x,y,z'
loop_
_atom_site_label
_atom_site_type_symbol
_atom_site_fract_x
_atom_site_fract_y
_atom_site_fract_z
As1 As 0.000 0.000 0.031
As2 As 0.500 0.500 0.288
Te1 Te 0.500 0.500 0.715
Pt1 Pt 0.000 0.000 0.466
# Space group ... No. 99
# Formation energy from raw total energies ... 0.241 eV/atom



# Zn2CuAu | Alexandria via LeMat-Bulk | PBEsol | optimized geometry
data_Zn2CuAu
_space_group_name_H-M_alt 'P 1'
_space_group_IT_number 1
_cell_length_a 4.287
_cell_length_b 4.287
_cell_length_c 4.287
_cell_angle_alpha 60.00
_cell_angle_beta 60.00
_cell_angle_gamma 60.00
loop_
_space_group_symop_operation_xyz
'x,y,z'
loop_
_atom_site_label
_atom_site_type_symbol
_atom_site_fract_x
_atom_site_fract_y
_atom_site_fract_z
Cu1 Cu 0.500 0.500 0.500
Au1 Au 0.000 0.000 0.000
Zn1 Zn 0.250 0.250 0.250
Zn2 Zn 0.750 0.750 0.750
# Energy of formation from the pure elements ... -0.6 eV/f.u.
# Space group ... No. 225



# Pr2Zn5Pb | Alexandria via LeMat-Bulk | PBEsol | optimized geometry
data_Pr2Zn5Pb
_space_group_name_H-M_alt 'P 1'
_space_group_IT_number 1
_cell_length_a 4.422
_cell_length_b 8.537
_cell_length_c 9.017
_cell_angle_alpha 90.00
_cell_angle_beta 90.00
_cell_angle_gamma 105.01
loop_
_space_group_symop_operation_xyz
'x,y,z'
loop_
_atom_site_label
_atom_site_type_symbol
_atom_site_fract_x
_atom_site_fract_y
_atom_site_fract_z
Pr1 Pr 0.794 0.589 0.250
Pr2 Pr 0.000 0.000 0.000
Pr3 Pr 0.206 0.411 0.750
Pr4 Pr 0.000 0.000 0.500
Zn1 Zn 0.340 0.681 0.486
Zn2 Zn 0.815 0.630 0.610
Zn3 Zn 0.340 0.681 0.014
Zn4 Zn 0.392 0.784 0.750
Zn5 Zn 0.608 0.216 0.250
Zn6 Zn 0.660 0.319 0.514
Zn7 Zn 0.815 0.630 0.890
Zn8 Zn 0.660 0.319 0.986
Zn9 Zn 0.185 0.370 0.110
Zn10 Zn 0.185 0.370 0.390
Pb1 Pb 0.445 0.891 0.250
Pb2 Pb 0.555 0.109 0.750
# Energy of formation from the pure elements ... -3.2 eV/f.u.
# Space group ... No. 63



# ZrPRu2 | Alexandria via LeMat-Bulk | PBEsol | optimized geometry
data_ZrPRu2
_space_group_name_H-M_alt 'P 1'
_space_group_IT_number 1
_cell_length_a 2.944
_cell_length_b 4.529
_cell_length_c 5.119
_cell_angle_alpha 116.25
_cell_angle_beta 106.71
_cell_angle_gamma 90.00
loop_
_space_group_symop_operation_xyz
'x,y,z'
loop_
_atom_site_label
_atom_site_type_symbol
_atom_site_fract_x
_atom_site_fract_y
_atom_site_fract_z
Ru1 Ru 0.214 0.214 0.428
Ru2 Ru 0.786 0.786 0.572
P1 P 0.500 0.000 0.000
Zr1 Zr 0.000 0.500 0.000
# Energy of formation from the pure elements ... -2.1 eV/f.u.
# Space group ... No. 71



# Tc2O5F4 | Alexandria via LeMat-Bulk | PBEsol | optimized geometry
data_Tc2O5F4
_space_group_name_H-M_alt 'P 1'
_space_group_IT_number 1
_cell_length_a 5.311
_cell_length_b 8.285
_cell_length_c 14.976
_cell_angle_alpha 90.00
_cell_angle_beta 90.00
_cell_angle_gamma 90.41
loop_
_space_group_symop_operation_xyz
'x,y,z'
loop_
_atom_site_label
_atom_site_type_symbol
_atom_site_fract_x
_atom_site_fract_y
_atom_site_fract_z
F1 F 0.004 0.346 0.161
F2 F 0.206 0.144 0.268
F3 F 0.496 0.654 0.661
F4 F 0.286 0.616 0.259
F5 F 0.992 0.915 0.184
F6 F 0.008 0.085 0.816
F7 F 0.714 0.384 0.741
F8 F 0.492 0.915 0.316
F9 F 0.504 0.346 0.339
F10 F 0.294 0.856 0.768
F11 F 0.508 0.085 0.684
F12 F 0.996 0.654 0.839
F13 F 0.706 0.144 0.232
F14 F 0.794 0.856 0.732
F15 F 0.214 0.384 0.759
F16 F 0.786 0.616 0.241
O1 O 0.184 0.890 0.939
O2 O 0.015 0.461 0.403
O3 O 0.291 0.116 0.095
O4 O 0.075 0.358 0.945
O5 O 0.485 0.539 0.903
O6 O 0.816 0.110 0.061
O7 O 0.209 0.884 0.595
O8 O 0.925 0.642 0.055
O9 O 0.684 0.890 0.561
O10 O 0.709 0.884 0.905
O11 O 0.002 0.213 0.607
O12 O 0.498 0.787 0.107
O13 O 0.502 0.213 0.893
O14 O 0.998 0.787 0.393
O15 O 0.316 0.110 0.439
O16 O 0.425 0.642 0.445
O17 O 0.791 0.116 0.405
O18 O 0.985 0.539 0.597
O19 O 0.515 0.461 0.097
O20 O 0.575 0.358 0.555
Tc1 Tc 0.820 0.374 0.624
Tc2 Tc 0.015 0.126 0.145
Tc3 Tc 0.680 0.626 0.124
Tc4 Tc 0.320 0.374 0.876
Tc5 Tc 0.485 0.874 0.645
Tc6 Tc 0.180 0.626 0.376
Tc7 Tc 0.515 0.126 0.355
Tc8 Tc 0.985 0.874 0.855
# Space group ... No. 14
# Formation energy from raw total energies ... -1.663 eV/atom



# P3W | Alexandria via LeMat-Bulk | PBEsol | optimized geometry
data_P3W
_space_group_name_H-M_alt 'P 1'
_space_group_IT_number 1
_cell_length_a 3.397
_cell_length_b 3.515
_cell_length_c 4.976
_cell_angle_alpha 90.00
_cell_angle_beta 90.00
_cell_angle_gamma 90.00
loop_
_space_group_symop_operation_xyz
'x,y,z'
loop_
_atom_site_label
_atom_site_type_symbol
_atom_site_fract_x
_atom_site_fract_y
_atom_site_fract_z
P1 P 0.500 0.276 0.500
P2 P 0.500 0.422 0.000
P3 P 0.000 0.849 0.000
W1 W 0.000 0.787 0.500
# Energy of formation from the pure elements ... 0.9 eV/f.u.
# Excess energy over the best structure of this formula in the dataset ... 10.67 kcal/mol of atoms
# Space group ... No. 25



# Nb2O5 | Alexandria via LeMat-Bulk | PBEsol | optimized geometry
data_Nb2O5
_space_group_name_H-M_alt 'P 1'
_space_group_IT_number 1
_cell_length_a 5.322
_cell_length_b 9.741
_cell_length_c 9.843
_cell_angle_alpha 90.00
_cell_angle_beta 90.00
_cell_angle_gamma 90.00
loop_
_space_group_symop_operation_xyz
'x,y,z'
loop_
_atom_site_label
_atom_site_type_symbol
_atom_site_fract_x
_atom_site_fract_y
_atom_site_fract_z
O1 O 0.117 0.587 0.242
O2 O 0.226 0.715 0.768
O3 O 0.726 0.785 0.232
O4 O 0.986 0.019 0.539
O5 O 0.514 0.981 0.039
O6 O 0.383 0.413 0.742
O7 O 0.616 0.713 0.969
O8 O 0.486 0.481 0.461
O9 O 0.116 0.787 0.031
O10 O 0.384 0.213 0.531
O11 O 0.774 0.215 0.732
O12 O 0.274 0.285 0.268
O13 O 0.145 0.998 0.836
O14 O 0.884 0.287 0.469
O15 O 0.645 0.502 0.164
O16 O 0.617 0.913 0.758
O17 O 0.855 0.498 0.664
O18 O 0.883 0.087 0.258
O19 O 0.014 0.519 0.961
O20 O 0.355 0.002 0.336
Nb1 Nb 0.119 0.154 0.402
Nb2 Nb 0.619 0.346 0.598
Nb3 Nb 0.881 0.654 0.098
Nb4 Nb 0.619 0.967 0.219
Nb5 Nb 0.381 0.846 0.902
Nb6 Nb 0.881 0.033 0.719
Nb7 Nb 0.119 0.533 0.781
Nb8 Nb 0.381 0.467 0.281
# Excess energy over the best structure of this formula in the dataset ... 2.05 kcal/mol of atoms
# Space group ... No. 19
# Formation energy from raw total energies ... -2.425 eV/atom



# LaZnCrP2 | Alexandria via LeMat-Bulk | PBEsol | optimized geometry
data_LaZnCrP2
_space_group_name_H-M_alt 'P 1'
_space_group_IT_number 1
_cell_length_a 4.529
_cell_length_b 4.737
_cell_length_c 4.737
_cell_angle_alpha 90.00
_cell_angle_beta 90.00
_cell_angle_gamma 90.00
loop_
_space_group_symop_operation_xyz
'x,y,z'
loop_
_atom_site_label
_atom_site_type_symbol
_atom_site_fract_x
_atom_site_fract_y
_atom_site_fract_z
P1 P 0.000 0.500 0.000
P2 P 0.000 0.000 0.500
Zn1 Zn 0.000 0.000 0.000
Cr1 Cr 0.500 0.000 0.000
La1 La 0.500 0.500 0.500
# Energy of formation from the pure elements ... 1.0 eV/f.u.
# Space group ... No. 123



Number 1: total magnetization 1.24 μB per formula unit, calculated density 3.21 g/cm³. Number 2: total magnetization 3.17 μB per formula unit, calculated density 4.95 g/cm³. Number 3: total magnetization 0.00 μB per formula unit, calculated density 4.65 g/cm³. Number 4: total magnetization 0.00 μB per formula unit, calculated density 3.05 g/cm³. Number 5: total magnetization 0.00 μB per formula unit, calculated density 9.81 g/cm³. Number 6: total magnetization 0.00 μB per formula unit, calculated density 11.66 g/cm³. Number 7: total magnetization 0.00 μB per formula unit, calculated density 8.24 g/cm³. Number 8: total magnetization 0.00 μB per formula unit, calculated density 9.29 g/cm³. Number 9: total magnetization 0.00 μB per formula unit, calculated density 3.55 g/cm³. Number 10: total magnetization 0.00 μB per formula unit, calculated density 7.74 g/cm³. Number 11: total magnetization 0.00 μB per formula unit, calculated density 3.46 g/cm³. Number 12: total magnetization 4.59 μB per formula unit, calculated density 5.20 g/cm³.